# Ac12Rh3O5 | Alexandria | PBE | relaxed
# ΔE_f (raw), eV/atom: -1.4407
# D(E_F), states/eV/atom: 1.0894
# Space group: No. 230
# Mass density, g cm⁻³: 8.87
data_Ac12Rh3O5
_chemical_formula_sum 'Ac48 Rh12 O20'
_cell_length_a 14.469
_cell_length_b 14.469
_cell_length_c 14.469
_cell_angle_alpha 109.47
_cell_angle_beta 109.47
_cell_angle_gamma 109.47
_space_group_name_H-M_alt 'P 1'
_space_group_IT_number 1
_space_group_name_Hall 'P 1'
loop_
_atom_site_label
_atom_site_fract_x
_atom_site_fract_y
_atom_site_fract_z
_atom_site_occupancy
Ac1 0.381 0.405 0.089 1
Ac2 0.976 0.381 0.292 1
Ac3 0.411 0.119 0.595 1
Ac4 0.589 0.881 0.405 1
Ac5 0.619 0.024 0.208 1
Ac6 0.685 0.208 0.589 1
Ac7 0.881 0.589 0.905 1
Ac8 0.976 0.595 0.185 1
Ac9 0.911 0.815 0.792 1
Ac10 0.185 0.095 0.976 1
Ac11 0.405 0.024 0.315 1
Ac12 0.792 0.315 0.911 1
Ac13 0.208 0.524 0.619 1
Ac14 0.089 0.185 0.208 1
Ac15 0.024 0.405 0.815 1
Ac16 0.708 0.119 0.024 1
Ac17 0.815 0.911 0.292 1
Ac18 0.476 0.792 0.881 1
Ac19 0.089 0.905 0.381 1
Ac20 0.524 0.208 0.119 1
Ac21 0.411 0.292 0.315 1
Ac22 0.315 0.524 0.405 1
Ac23 0.315 0.792 0.411 1
Ac24 0.589 0.708 0.685 1
Ac25 0.208 0.685 0.089 1
Ac26 0.595 0.976 0.685 1
Ac27 0.185 0.089 0.708 1
Ac28 0.405 0.381 0.589 1
Ac29 0.119 0.411 0.095 1
Ac30 0.595 0.619 0.411 1
Ac31 0.911 0.095 0.619 1
Ac32 0.119 0.708 0.524 1
Ac33 0.524 0.315 0.905 1
Ac34 0.708 0.589 0.185 1
Ac35 0.024 0.619 0.708 1
Ac36 0.292 0.881 0.976 1
Ac37 0.476 0.685 0.095 1
Ac38 0.685 0.476 0.595 1
Ac39 0.381 0.976 0.792 1
Ac40 0.815 0.905 0.024 1
Ac41 0.619 0.595 0.911 1
Ac42 0.792 0.476 0.381 1
Ac43 0.095 0.911 0.119 1
Ac44 0.095 0.185 0.476 1
Ac45 0.905 0.089 0.881 1
Ac46 0.881 0.292 0.476 1
Ac47 0.292 0.411 0.815 1
Ac48 0.905 0.815 0.524 1
Rh1 0.375 0.625 0.250 1
Rh2 0.750 0.875 0.625 1
Rh3 0.125 0.875 0.750 1
Rh4 0.875 0.750 0.125 1
Rh5 0.375 0.750 0.625 1
Rh6 0.625 0.250 0.375 1
Rh7 0.250 0.125 0.375 1
Rh8 0.625 0.375 0.750 1
Rh9 0.125 0.250 0.875 1
Rh10 0.750 0.375 0.125 1
Rh11 0.250 0.625 0.875 1
Rh12 0.875 0.125 0.250 1
O1 0.500 0.500 0.000 1
O2 0.375 0.250 0.125 1
O3 0.000 0.000 0.500 1
O4 0.125 0.375 0.250 1
O5 0.000 0.500 0.500 1
O6 0.500 0.000 0.000 1
O7 0.625 0.750 0.875 1
O8 0.000 0.000 0.000 1
O9 0.000 0.500 0.000 1
O10 0.375 0.125 0.750 1
O11 0.875 0.250 0.625 1
O12 0.125 0.750 0.375 1
O13 0.500 0.500 0.500 1
O14 0.875 0.625 0.750 1
O15 0.625 0.875 0.250 1
O16 0.250 0.875 0.125 1
O17 0.250 0.375 0.625 1
O18 0.750 0.625 0.375 1
O19 0.750 0.125 0.875 1
O20 0.500 0.000 0.500 1